Computed, not measured: a geometry-optimized LuGaNiMo structure at the PBE level of DFT.

Properties
SG: F-43m
final energy: -94.60 eV for the cell shown

Unit cell a=6.3827 b=6.3827 c=6.3827 alpha=90.00 beta=90.00 gamma=90.00
Sites, in units of the cell vectors:
Lu1 0.0000 0.0000 0.0000
Lu2 0.0000 0.5000 0.5000
Lu3 0.5000 0.0000 0.5000
Lu4 0.5000 0.5000 0.0000
Ga1 0.0000 0.0000 0.5000
Ga2 0.0000 0.5000 0.0000
Ga3 0.5000 0.0000 0.0000
Ga4 0.5000 0.5000 0.5000
Ni1 0.2500 0.2500 0.7500
Ni2 0.2500 0.7500 0.2500
Ni3 0.7500 0.2500 0.2500
Ni4 0.7500 0.7500 0.7500
Mo1 0.2500 0.2500 0.2500
Mo2 0.2500 0.7500 0.7500
Mo3 0.7500 0.2500 0.7500
Mo4 0.7500 0.7500 0.2500



Computed, not measured: a geometry-optimized LuGaNiMo structure at the PBE level of DFT.

Properties
SG: F-43m
final energy: -91.26 eV for the cell shown

Unit cell a=6.4970 b=6.4970 c=6.4970 alpha=90.00 beta=90.00 gamma=90.00
Sites, in units of the cell vectors:
Lu1 0.0000 0.0000 0.0000
Lu2 0.0000 0.5000 0.5000
Lu3 0.5000 0.0000 0.5000
Lu4 0.5000 0.5000 0.0000
Ga1 0.2500 0.2500 0.2500
Ga2 0.2500 0.7500 0.7500
Ga3 0.7500 0.2500 0.7500
Ga4 0.7500 0.7500 0.2500
Ni1 0.0000 0.0000 0.5000
Ni2 0.0000 0.5000 0.0000
Ni3 0.5000 0.0000 0.0000
Ni4 0.5000 0.5000 0.5000
Mo1 0.2500 0.2500 0.7500
Mo2 0.2500 0.7500 0.2500
Mo3 0.7500 0.2500 0.2500
Mo4 0.7500 0.7500 0.7500



final energy of number 1 (LuGaNiMo)?
-94.60 eV for the cell shown



Which of these has the highest final energy?
number 2



Which of these has the lowest final energy?
number 1



Number 1 is which compound?
LuGaNiMo